## PmCd3Cu8 (PBE-GGA)

Data for an optimized crystal structure of PmCd3Cu8.

Cell and atoms, written as extended XYZ:
```
12
Lattice="5.128 0.000 0.000 -2.564 4.441 0.000 0.000 0.000 8.255" Properties=species:S:1:pos:R:3 pbc="T T T"
Pm 0.000 0.000 0.000
Cd 0.000 0.000 3.215
Cd 2.564 1.480 4.066
Cd 2.564 1.480 7.060
Cu 0.000 1.483 5.630
Cu -1.279 3.699 5.630
Cu 0.000 2.961 3.567
Cu 0.000 2.961 7.721
Cu 2.564 0.021 1.578
Cu 1.300 2.210 1.578
Cu 1.279 3.699 5.630
Cu 3.828 2.210 1.578
```

Computed properties:
The value obtained for the energy relative to the lowest polymorph listed for this composition is 0.103 eV per formula unit. The space-group type is P3m1. The calculation puts the formation energy at -0.95 eV per formula unit. The calculation puts the theoretical density at 8.75 g/cm3. The magnetization is 0.00 μB/cell.